No. 1
## Pu5Pd (PBE-GGA)

Data for Pu5Pd after structural relaxation.

Properties
* DOS(E_F): 3.94 states/eV/atom
* size of the total moment: 0.991 μB/atom
* ΔH_f (0 K): 0.030 eV/atom
* crystal system: orthorhombic
* total DFT energy (no corrections): -12.78 eV/atom

Cell: 5.422 14.079 3.361 Å, 90.00 90.00 90.00°
Space group Cmmm (No. 65)
Symmetry-distinct sites (fractional):
Pu (0.000, 0.000, 0.000) (multiplicity 2)
Pu (0.000, 0.189, 0.500) (multiplicity 4)
Pu (0.000, 0.327, 0.000) (multiplicity 4)
Pd (0.000, 0.500, 0.500) (multiplicity 2)



No. 2
## PmBiAu (PBE-GGA)

Data for PmBiAu after structural relaxation.

Properties
* DOS(E_F): 0.35 states/eV/atom
* size of the total moment: 0.000 μB/atom
* ΔH_f (0 K): -0.572 eV/atom
* polymorph energy (0 for the lowest one): 144 meV per atom
* crystal system: monoclinic
* total DFT energy (no corrections): -4.54 eV/atom

Cell: 8.017 6.938 6.690 Å, 90.00 108.04 90.00°
Space group P2_1/c (No. 14)
Symmetry-distinct sites (fractional):
Pm (0.214, 0.066, 0.403) (multiplicity 4)
Bi (0.462, 0.666, 0.653) (multiplicity 4)
Au (0.062, 0.693, 0.498) (multiplicity 4)



No. 3
## ReNi2I (PBE-GGA)

Data for ReNi2I after structural relaxation.

Properties
* DOS(E_F): 0.24 states/eV/atom
* size of the total moment: 0.000 μB/atom
* ΔE_f (raw): 1.07 eV/atom
* polymorph energy (0 for the lowest one): 0 meV per atom
* crystal system: tetragonal
* total DFT energy (no corrections): -5.32 eV/atom

Cell: 6.081 6.081 9.012 Å, 90.00 90.00 90.00°
Space group I-42d (No. 122)
Symmetry-distinct sites (fractional):
Re (0.000, 0.000, 0.000) (multiplicity 4)
Ni (0.216, 0.250, 0.125) (multiplicity 8)
I (0.000, 0.000, 0.500) (multiplicity 4)



No. 4
## ScCu (PBE-GGA)

Data for ScCu after structural relaxation.

Properties
* DOS(E_F): 0.40 states/eV/atom
* size of the total moment: 0.000 μB/atom
* ΔH_f (0 K): -0.008 eV/atom
* crystal system: hexagonal
* total DFT energy (no corrections): -5.22 eV/atom

Cell: 3.5288 3.5288 3.5662 Å, 90.00 90.00 120.00°
Space group P-6m2 (No. 187)
Symmetry-distinct sites (fractional):
Sc (0.0000, 0.0000, 0.0000) (multiplicity 1)
Cu (0.6667, 0.3333, 0.5000) (multiplicity 1)



No. 5
## SrLiNO2 (PBE-GGA)

Data for SrLiNO2 after structural relaxation.

Properties
* DOS(E_F): 0.62 states/eV/atom
* size of the total moment: 0.800 μB/atom
* ΔE_f (raw): 0.13 eV/atom
* crystal system: tetragonal
* total DFT energy (no corrections): -4.23 eV/atom

Cell: 4.684 4.684 5.006 Å, 90.00 90.00 90.00°
Space group P4/mmm (No. 123)
Symmetry-distinct sites (fractional):
Sr (0.000, 0.000, 0.000) (multiplicity 1)
Li (0.500, 0.500, 0.500) (multiplicity 1)
N (0.000, 0.000, 0.500) (multiplicity 1)
O (0.000, 0.500, 0.000) (multiplicity 2)



No. 6
## TbErCd3 (PBE-GGA)

Data for TbErCd3 after structural relaxation.

Properties
* DOS(E_F): 0.87 states/eV/atom
* size of the total moment: 0.000 μB/atom
* ΔH_f (0 K): -0.290 eV/atom
* polymorph energy (0 for the lowest one): 0 meV per atom
* crystal system: orthorhombic
* total DFT energy (no corrections): -2.68 eV/atom

Cell: 3.454 29.383 4.967 Å, 90.00 90.00 90.00°
Space group Cmcm (No. 63)
Symmetry-distinct sites (fractional):
Tb (0.000, 0.075, 0.250) (multiplicity 4)
Er (0.000, 0.216, 0.750) (multiplicity 4)
Cd (0.000, 0.324, 0.750) (multiplicity 4)
Cd (0.000, 0.378, 0.250) (multiplicity 4)
Cd (0.000, 0.476, 0.250) (multiplicity 4)



No. 7
## Mn3HIr (PBE-GGA)

Data for Mn3HIr after structural relaxation.

Properties
* DOS(E_F): 0.69 states/eV/atom
* size of the total moment: 0.211 μB/atom
* polymorph energy (0 for the lowest one): 0 meV per atom
* crystal system: orthorhombic
* total DFT energy (no corrections): -8.06 eV/atom

Cell: 3.697 3.756 7.424 Å, 90.00 90.00 90.00°
Space group Pmma (No. 51)
Symmetry-distinct sites (fractional):
Mn (0.250, 0.000, 0.125) (multiplicity 2)
Mn (0.250, 0.000, 0.628) (multiplicity 2)
Mn (0.250, 0.500, 0.372) (multiplicity 2)
H (0.250, 0.000, 0.380) (multiplicity 2)
Ir (0.250, 0.500, 0.866) (multiplicity 2)



No. 8
## Hf2Zr2Ag (PBE-GGA)

Data for Hf2Zr2Ag after structural relaxation.

Properties
* DOS(E_F): 1.12 states/eV/atom
* size of the total moment: 0.000 μB/atom
* ΔH_f (0 K): 0.645 eV/atom
* polymorph energy (0 for the lowest one): 428 meV per atom
* crystal system: tetragonal
* total DFT energy (no corrections): -7.33 eV/atom

Cell: 4.000 4.000 14.767 Å, 90.00 90.00 90.00°
Space group I4/mmm (No. 139)
Symmetry-distinct sites (fractional):
Hf (0.000, 0.000, 0.093) (multiplicity 4)
Zr (0.000, 0.500, 0.250) (multiplicity 4)
Ag (0.000, 0.000, 0.500) (multiplicity 2)